LaPrSmEu | PBE | optimized geometry

abc: 5.933 5.933 5.933
angles: 60.00 60.00 60.00
Last column: magnetic moment on the atom in μB.
Fractional positions:
Eu  0.000  0.000  0.000  6.90
La  0.250  0.250  0.250  0.17
Sm  0.500  0.500  0.500  0.16
Pr  0.750  0.750  0.750  0.18

Raw total energy in eV per atom: -6.0510
SG: No. 216
Calculated volume in Å³/atom: 36.9
Energy of formation from the pure elements in eV/f.u.: 0.50